Here is a relaxed TeAu2Br crystal from Alexandria via LeMat-Bulk. Energies are from GGA-PBEsol. Values from VASP.

- Uncorrected formation energy: 383 meV/atom
- Final energy: -11.7 eV per formula unit
- Volume: 84.6 Å³/cell
- Crystal system: orthorhombic

The structure in Quantum ESPRESSO input format:
```
&SYSTEM
  ibrav = 0, nat = 4, ntyp = 3
/
ATOMIC_SPECIES
Te 127.60 Te.upf
Au 196.97 Au.upf
Br 79.90 Br.upf
CELL_PARAMETERS angstrom
3.0752 0.0000 0.0000
0.0000 5.0038 0.0000
0.0000 0.0000 5.5003
ATOMIC_POSITIONS angstrom
Te 0.0000 0.0000 0.0000
Au 0.0000 2.5019 2.7502
Au 1.5376 0.0000 2.7502
Br 1.5376 2.5019 0.0000
```